[1]
Material: Ba2CdIn3O8
Method: DFT, GGA-PBE
State: optimized geometry

The energy relative to the elements, uncorrected comes out at -2223.6 kJ/mol of formula units.

Lattice parameters (Å, degrees): 6.7288 6.7288 7.4867 63.30 63.30 60.00
With the nearest neighbours (Å) after each atom.
Element x y z (fractional)
1 Ba 0.1344 0.1344 0.5967  4 O 2.55-2.59
2 Ba 0.4910 0.4910 0.5269  6 O 2.66-2.75
3 Cd 0.9580 0.9580 0.1261  3 O 2.19
4 In 0.4941 0.9925 0.0192  6 O 2.22-2.25
5 In 0.9925 0.4941 0.0192  6 O 2.22-2.25
6 In 0.4941 0.4941 0.0192  6 O 2.22-2.25
7 O 0.2695 0.2695 0.1915  3 In 2.24
8 O 0.7164 0.7164 0.8508  3 In 2.22
9 O 0.2261 0.2261 0.8414  2 In 2.22
10 O 0.7065 0.2261 0.8414  2 In 2.22
11 O 0.2261 0.7065 0.8414  2 In 2.22
12 O 0.7466 0.2908 0.2160  1 Cd 2.19, 2 In 2.25
13 O 0.2908 0.7466 0.2160  1 Cd 2.19, 2 In 2.25
14 O 0.7466 0.7466 0.2160  1 Cd 2.19, 2 In 2.25

=====

[2]
Material: Al3ZnAg5
Method: DFT, GGA-PBE
State: optimized geometry

The energy relative to the lowest polymorph listed for this composition is 0 meV/atom.

Lattice parameters (Å, degrees): 5.6411 7.8845 7.8845 120.00 90.00 90.00
With the nearest neighbours (Å) after each atom.
Element x y z (fractional)
1 Al 0.7500 0.3489 0.0000  9 Ag 2.63-2.93
2 Al 0.7500 0.6511 0.6511  9 Ag 2.63-2.93
3 Al 0.7500 0.0000 0.3489  9 Ag 2.63-2.93
4 Al 0.2500 0.6511 0.0000  9 Ag 2.63-2.93
5 Al 0.2500 0.3489 0.3489  9 Ag 2.63-2.93
6 Al 0.2500 0.0000 0.6511  9 Ag 2.63-2.93
7 Zn 0.0000 0.0000 0.0000  2 Zn 2.82, 6 Ag 2.85, 6 Al 3.09
8 Zn 0.5000 0.0000 0.0000  2 Zn 2.82, 6 Ag 2.85, 6 Al 3.09
9 Ag 0.0000 0.3333 0.6667  8 Ag 2.82-3.05, 6 Al 2.93
10 Ag 0.5000 0.6667 0.3333  8 Ag 2.82-3.05, 6 Al 2.93
11 Ag 0.0000 0.6667 0.3333  8 Ag 2.82-3.05, 6 Al 2.93
12 Ag 0.5000 0.3333 0.6667  8 Ag 2.82-3.05, 6 Al 2.93
13 Ag 0.7500 0.6853 0.0000  5 Al 2.63-2.83, 2 Zn 2.85
14 Ag 0.7500 0.3147 0.3147  5 Al 2.63-2.83, 2 Zn 2.85
15 Ag 0.7500 0.0000 0.6853  5 Al 2.63-2.83, 2 Zn 2.85
16 Ag 0.2500 0.3147 0.0000  5 Al 2.63-2.83, 2 Zn 2.85
17 Ag 0.2500 0.6853 0.6853  5 Al 2.63-2.83, 2 Zn 2.85
18 Ag 0.2500 0.0000 0.3147  5 Al 2.63-2.83, 2 Zn 2.85

=====

[3]
Material: ZnGa4Ag3
Method: DFT, GGA-PBE
State: optimized geometry

The calculation puts the total energy at -2.661 eV per atom.

Lattice parameters (Å, degrees): 3.0448 4.5323 11.4302 104.38 97.65 90.00
With the nearest neighbours (Å) after each atom.
Element x y z (fractional)
1 Zn 0.5000 0.0000 0.0000  4 Ga 2.63, 4 Ag 2.73
2 Ag 0.0000 0.5000 0.0000  4 Zn 2.73, 2 Ga 2.92, 2 Ag 3.04
3 Ag 0.1708 0.7644 0.3417  7 Ga 2.76-2.91, 2 Ag 3.04
4 Ag 0.8292 0.2356 0.6583  7 Ga 2.76-2.91, 2 Ag 3.04
5 Ga 0.7042 0.2977 0.4084  5 Ag 2.80-2.91, 6 Ga 2.80-3.04
6 Ga 0.2958 0.7023 0.5916  5 Ag 2.80-2.91, 6 Ga 2.80-3.04
7 Ga 0.0971 0.1791 0.1941  2 Zn 2.63, 3 Ag 2.76-2.92, 2 Ga 2.80
8 Ga 0.9029 0.8209 0.8059  2 Zn 2.63, 3 Ag 2.76-2.92, 2 Ga 2.80

=====

[4]
Material: KGaP2H2
Method: DFT, GGA-PBE
State: optimized geometry

The energy relative to the lowest polymorph listed for this composition is 83 meV/atom.

Lattice parameters (Å, degrees): 6.0112 7.8888 10.9758 90.00 90.00 90.00
With the nearest neighbours (Å) after each atom.
Element x y z (fractional)
1 K 0.2294 0.7500 0.2156  1 H 2.68
2 K 0.7706 0.2500 0.7844  1 H 2.68
3 K 0.7294 0.2500 0.2844  1 H 2.68
4 K 0.2706 0.7500 0.7156  1 H 2.68
5 Ga 0.8137 0.7500 0.9536  2 H 1.60-1.62
6 Ga 0.1863 0.2500 0.0464  2 H 1.60-1.62
7 Ga 0.3137 0.2500 0.5464  2 H 1.60-1.62
8 Ga 0.6863 0.7500 0.4536  2 H 1.60-1.62
9 P 0.6355 0.9812 0.0555  1 P 2.06
10 P 0.3645 0.0188 0.9445  1 P 2.06
11 P 0.1355 0.0188 0.4445  1 P 2.06
12 P 0.3645 0.4812 0.9445  1 P 2.06
13 P 0.8645 0.9812 0.5555  1 P 2.06
14 P 0.6355 0.5188 0.0555  1 P 2.06
15 P 0.8645 0.5188 0.5555  1 P 2.06
16 P 0.1355 0.4812 0.4445  1 P 2.06
17 H 0.7224 0.7500 0.3092  1 Ga 1.60
18 H 0.2776 0.2500 0.6908  1 Ga 1.60
19 H 0.2224 0.2500 0.1908  1 Ga 1.60
20 H 0.7776 0.7500 0.8092  1 Ga 1.60
21 H 0.0769 0.7500 0.9857  1 Ga 1.62
22 H 0.9231 0.2500 0.0143  1 Ga 1.62
23 H 0.5769 0.2500 0.5143  1 Ga 1.62
24 H 0.4231 0.7500 0.4857  1 Ga 1.62

=====

[5]
Material: GaSiI3
Method: DFT, GGA-PBE
State: optimized geometry

The energy relative to the lowest polymorph listed for this composition is 0 meV/atom. The energy relative to the elements, uncorrected comes out at -18.8 kJ/mol of formula units.

Lattice parameters (Å, degrees): 5.7054 5.7054 5.7054 90.00 90.00 90.00
With the nearest neighbours (Å) after each atom.
Element x y z (fractional)
1 I 0.0000 0.5000 0.0000  2 Si 2.85
2 I 0.0000 0.0000 0.5000  2 Si 2.85
3 I 0.5000 0.0000 0.0000  2 Si 2.85
4 Si 0.0000 0.0000 0.0000  6 I 2.85
5 Ga 0.5000 0.5000 0.5000  12 I 4.03

=====

[6]
Material: La5Nd4Cd2
Method: DFT, GGA-PBE
State: optimized geometry

The energy relative to the lowest polymorph listed for this composition is 0 meV/atom.

Lattice parameters (Å, degrees): 3.7885 9.2505 21.4814 90.00 90.00 90.00
With the nearest neighbours (Å) after each atom.
Element x y z (fractional)
1 La 0.0000 0.5000 0.0000  8 Nd 3.61-3.73, 4 La 3.76-3.79
2 La 0.0000 0.0000 0.5000  8 Nd 3.61-3.73, 4 La 3.76-3.79
3 La 0.0000 0.2475 0.2216  4 Cd 3.30-3.34, 2 Nd 3.67
4 La 0.0000 0.7525 0.7784  4 Cd 3.30-3.34, 2 Nd 3.67
5 La 0.0000 0.7475 0.2784  4 Cd 3.30-3.34, 2 Nd 3.67
6 La 0.0000 0.2525 0.7216  4 Cd 3.30-3.34, 2 Nd 3.67
7 La 0.0000 0.3736 0.4307  2 Cd 3.32, 2 Nd 3.70
8 La 0.0000 0.6264 0.5693  2 Cd 3.32, 2 Nd 3.70
9 La 0.0000 0.8736 0.0693  2 Cd 3.32, 2 Nd 3.70
10 La 0.0000 0.1264 0.9307  2 Cd 3.32, 2 Nd 3.70
11 Nd 0.5000 0.2826 0.5757  1 Cd 3.45, 3 Nd 3.56-3.79, 8 La 3.61-3.74
12 Nd 0.5000 0.7174 0.4243  1 Cd 3.45, 3 Nd 3.56-3.79, 8 La 3.61-3.74
13 Nd 0.5000 0.7826 0.9243  1 Cd 3.45, 3 Nd 3.56-3.79, 8 La 3.61-3.74
14 Nd 0.5000 0.2174 0.0757  1 Cd 3.45, 3 Nd 3.56-3.79, 8 La 3.61-3.74
15 Nd 0.5000 0.4350 0.8528  3 Nd 3.56-3.79, 2 Cd 3.61-3.76, 8 La 3.73-3.84
16 Nd 0.5000 0.5650 0.1472  3 Nd 3.56-3.79, 2 Cd 3.61-3.76, 8 La 3.73-3.84
17 Nd 0.5000 0.9350 0.6472  3 Nd 3.56-3.79, 2 Cd 3.61-3.76, 8 La 3.73-3.84
18 Nd 0.5000 0.0650 0.3528  3 Nd 3.56-3.79, 2 Cd 3.61-3.76, 8 La 3.73-3.84
19 Cd 0.5000 0.4584 0.3089  6 La 3.30-3.34, 2 Nd 3.45-3.61
20 Cd 0.5000 0.5416 0.6911  6 La 3.30-3.34, 2 Nd 3.45-3.61
21 Cd 0.5000 0.9584 0.1911  6 La 3.30-3.34, 2 Nd 3.45-3.61
22 Cd 0.5000 0.0416 0.8089  6 La 3.30-3.34, 2 Nd 3.45-3.61

=====

[7]
Material: Cd2Si2Hg
Method: DFT, GGA-PBE
State: optimized geometry

The energy relative to the lowest polymorph listed for this composition is 103 meV/atom. The energy relative to the elements, uncorrected comes out at 164.3 kJ/mol of formula units.

Lattice parameters (Å, degrees): 4.5310 4.5310 6.3223 69.00 69.00 90.00
With the nearest neighbours (Å) after each atom.
Element x y z (fractional)
1 Si 0.3939 0.3939 0.2122  1 Si 2.31
2 Si 0.6061 0.6061 0.7878  1 Si 2.31
3 Hg 0.0000 0.0000 0.0000  8 Si 3.41, 8 Cd 3.54
4 Cd 0.7500 0.2500 0.5000  4 Si 2.76
5 Cd 0.2500 0.7500 0.5000  4 Si 2.76

=====

[8]
Material: YHF2
Method: DFT, GGA-PBE
State: optimized geometry

The energy relative to the lowest polymorph listed for this composition is 0 meV/atom.

Lattice parameters (Å, degrees): 3.9297 3.9297 3.9297 60.00 60.00 60.00
With the nearest neighbours (Å) after each atom.
Element x y z (fractional)
1 Y 0.5000 0.5000 0.5000  8 F 2.41
2 H 0.0000 0.0000 0.0000  8 F 2.41
3 F 0.2500 0.2500 0.2500  4 Y 2.41, 4 H 2.41
4 F 0.7500 0.7500 0.7500  4 Y 2.41, 4 H 2.41

=====

[9]
Material: AcNd7Y3
Method: DFT, GGA-PBE
State: optimized geometry

The energy relative to the lowest polymorph listed for this composition is 15 meV/atom.

Lattice parameters (Å, degrees): 6.6443 7.8405 7.8405 81.16 86.08 86.08
With the nearest neighbours (Å) after each atom.
Element x y z (fractional)
1 Ac 0.5000 0.5000 0.5000  4 Nd 3.32-3.58
2 Nd 0.7967 0.2340 0.2340  5 Nd 3.33-3.57, 3 Y 3.45-3.56, 1 Ac 3.58
3 Nd 0.7413 0.9282 0.5756  4 Nd 3.33-3.60, 3 Y 3.55-3.70
4 Nd 0.2587 0.4244 0.0718  4 Nd 3.33-3.60, 3 Y 3.55-3.70
5 Nd 0.7413 0.5756 0.9282  4 Nd 3.33-3.60, 3 Y 3.55-3.70
6 Nd 0.0000 0.5000 0.5000  2 Ac 3.32, 2 Y 3.37, 2 Nd 3.55
7 Nd 0.2587 0.0718 0.4244  4 Nd 3.33-3.60, 3 Y 3.55-3.70
8 Nd 0.2033 0.7660 0.7660  5 Nd 3.33-3.57, 3 Y 3.45-3.56, 1 Ac 3.58
9 Y 0.0000 0.8300 0.1700  7 Nd 3.37-3.67, 3 Y 3.47-3.75
10 Y 0.5000 0.0000 0.0000  6 Nd 3.56-3.70, 4 Y 3.75
11 Y 0.0000 0.1700 0.8300  7 Nd 3.37-3.67, 3 Y 3.47-3.75

=====

[10]
Material: Tm3CdPb4
Method: DFT, GGA-PBE
State: optimized geometry

The calculation puts the total energy at -3.946 eV per atom.

Lattice parameters (Å, degrees): 6.3993 6.4304 10.6251 90.00 90.00 90.00
With the nearest neighbours (Å) after each atom.
Element x y z (fractional)
1 Pb 0.9957 0.8109 0.0000  2 Cd 3.19-3.21, 2 Tm 3.21-3.22, 4 Pb 3.40-3.41
2 Pb 0.5011 0.3090 0.0000  6 Tm 3.20-3.40, 2 Cd 3.21-3.22
3 Pb 0.7832 0.0615 0.7495  6 Tm 3.19-3.41, 2 Pb 3.40-3.41, 1 Cd 3.57
4 Pb 0.2168 0.5615 0.7505  6 Tm 3.19-3.41, 2 Pb 3.40-3.41, 1 Cd 3.57
5 Pb 0.4989 0.8090 0.5000  6 Tm 3.20-3.40, 2 Cd 3.21-3.22
6 Pb 0.0043 0.3109 0.5000  2 Cd 3.19-3.21, 2 Tm 3.21-3.22, 4 Pb 3.40-3.41
7 Pb 0.2168 0.5615 0.2495  6 Tm 3.19-3.41, 2 Pb 3.40-3.41, 1 Cd 3.57
8 Pb 0.7832 0.0615 0.2505  6 Tm 3.19-3.41, 2 Pb 3.40-3.41, 1 Cd 3.57
9 Tm 0.0017 0.3104 0.0000  8 Pb 3.20-3.41
10 Tm 0.2844 0.0610 0.7492  6 Pb 3.19-3.40, 2 Cd 3.40
11 Tm 0.7156 0.5610 0.7508  6 Pb 3.19-3.40, 2 Cd 3.40
12 Tm 0.9983 0.8104 0.5000  8 Pb 3.20-3.41
13 Tm 0.7156 0.5610 0.2492  6 Pb 3.19-3.40, 2 Cd 3.40
14 Tm 0.2844 0.0610 0.2508  6 Pb 3.19-3.40, 2 Cd 3.40
15 Cd 0.4949 0.8094 0.0000  6 Pb 3.19-3.57, 4 Tm 3.40
16 Cd 0.5051 0.3094 0.5000  6 Pb 3.19-3.57, 4 Tm 3.40

=====

[11]
Material: PrPa4P5
Method: DFT, GGA-PBE
State: optimized geometry

The calculation puts the total energy at -8.333 eV per atom.

Lattice parameters (Å, degrees): 4.0015 6.9405 8.9712 75.20 77.11 73.25
With the nearest neighbours (Å) after each atom.
Element x y z (fractional)
1 Pr 0.0000 0.0000 0.0000  6 P 2.89-2.92
2 Pa 0.5970 0.2046 0.6015  6 P 2.80-2.84
3 Pa 0.2013 0.3920 0.2055  6 P 2.79-2.84
4 Pa 0.7987 0.6080 0.7945  6 P 2.79-2.84
5 Pa 0.4030 0.7954 0.3985  6 P 2.80-2.84
6 P 0.2020 0.9040 0.6921  5 Pa 2.80-2.82, 1 Pr 2.89
7 P 0.7980 0.0960 0.3079  5 Pa 2.80-2.82, 1 Pr 2.89
8 P 0.3921 0.3190 0.8969  4 Pa 2.79-2.84, 2 Pr 2.92
9 P 0.0000 0.5000 0.5000  6 Pa 2.81-2.82
10 P 0.6079 0.6810 0.1031  4 Pa 2.79-2.84, 2 Pr 2.92

=====

[12]
Material: CsKCuS2
Method: DFT, GGA-PBE
State: optimized geometry

The energy relative to the elements, uncorrected comes out at -305.5 kJ/mol of formula units.

Lattice parameters (Å, degrees): 6.8091 5.4134 7.6958 90.00 90.00 90.00
With the nearest neighbours (Å) after each atom.
Element x y z (fractional)
1 Cs 0.2171 0.2500 0.5000  6 S 3.55-3.56
2 Cs 0.7829 0.7500 0.5000  6 S 3.55-3.56
3 K 0.6019 0.7500 0.0000  2 Cu 3.03, 2 K 3.04, 2 S 3.26
4 K 0.3981 0.2500 0.0000  2 Cu 3.03, 2 K 3.04, 2 S 3.26
5 Cu 0.0000 0.0000 0.0000  4 S 2.39
6 Cu 0.0000 0.5000 0.0000  4 S 2.39
7 S 0.8203 0.2500 0.7994  2 Cu 2.39
8 S 0.8203 0.2500 0.2006  2 Cu 2.39
9 S 0.1797 0.7500 0.7994  2 Cu 2.39
10 S 0.1797 0.7500 0.2006  2 Cu 2.39

=====

Number 7 is which compound?
Cd2Si2Hg

=====

What is the formula in the fifth record?
GaSiI3